Entry 1:
VASP calculation (PBE) on a relaxed structure of MgCdSn2.

## Properties
- DOS at the Fermi energy: 0.6583 states/eV/atom
- VASP energy: -30.3 eV for the cell shown
- Calculated density: 5.82 g cm⁻³
- ΔH_f (0 K): 0.4 eV per formula unit
- Excess energy over the best structure of this formula in the dataset: 135.3 meV/atom
- Symmetry: R-3m (166)

The structure in CIF format:
```
data_MgCdSn2
_chemical_formula_sum 'Mg3 Cd3 Sn6'
_cell_length_a 3.3440
_cell_length_b 3.3440
_cell_length_c 33.0889
_cell_angle_alpha 90.00
_cell_angle_beta 90.00
_cell_angle_gamma 120.00
_symmetry_space_group_name_H-M 'P 1'
_symmetry_Int_Tables_number 1
loop_
_symmetry_equiv_pos_as_xyz
'x,y,z'
loop_
_atom_site_label
_atom_site_fract_x
_atom_site_fract_y
_atom_site_fract_z
Mg1 0.0000 0.0000 0.0000
Mg2 0.3333 0.6667 0.6667
Mg3 0.6667 0.3333 0.3333
Cd1 0.0000 0.0000 0.5000
Cd2 0.3333 0.6667 0.1667
Cd3 0.6667 0.3333 0.8333
Sn1 0.0000 0.0000 0.0900
Sn2 0.0000 0.0000 0.9100
Sn3 0.3333 0.6667 0.5767
Sn4 0.3333 0.6667 0.7567
Sn5 0.6667 0.3333 0.2433
Sn6 0.6667 0.3333 0.4233
```


Entry 2:
VASP calculation (PBE) on a relaxed structure of Mg5Cd2Sn.

## Properties
- DOS at the Fermi energy: 0.4406 states/eV/atom
- VASP energy: -28.6 eV for the cell shown
- Calculated density: 4.17 g cm⁻³
- ΔH_f (0 K): -0.5 eV per formula unit
- Excess energy over the best structure of this formula in the dataset: 31.6 meV/atom
- Symmetry: I4/mcm (140)

The structure in CIF format:
```
data_Mg5Cd2Sn
_chemical_formula_sum 'Mg10 Cd4 Sn2'
_cell_length_a 8.4466
_cell_length_b 8.4466
_cell_length_c 8.4466
_cell_angle_alpha 127.17
_cell_angle_beta 127.17
_cell_angle_gamma 77.97
_symmetry_space_group_name_H-M 'P 1'
_symmetry_Int_Tables_number 1
loop_
_symmetry_equiv_pos_as_xyz
'x,y,z'
loop_
_atom_site_label
_atom_site_fract_x
_atom_site_fract_y
_atom_site_fract_z
Mg1 0.0000 0.0000 0.0000
Mg2 0.0051 0.5051 0.1957
Mg3 0.1906 0.9949 0.5000
Mg4 0.3094 0.8094 0.8043
Mg5 0.4949 0.6906 0.5000
Mg6 0.5000 0.5000 0.0000
Mg7 0.5051 0.3094 0.5000
Mg8 0.6906 0.1906 0.1957
Mg9 0.8094 0.0051 0.5000
Mg10 0.9949 0.4949 0.8043
Cd1 0.1421 0.3579 0.5000
Cd2 0.3579 0.8579 0.2159
Cd3 0.6421 0.1421 0.7841
Cd4 0.8579 0.6421 0.5000
Sn1 0.2500 0.2500 0.0000
Sn2 0.7500 0.7500 0.0000
```


Entry 3:
VASP calculation (PBE) on a relaxed structure of Mg4Cd2Sn.

## Properties
- DOS at the Fermi energy: 0.3459 states/eV/atom
- VASP energy: -12.4 eV for the cell shown
- Calculated density: 4.32 g cm⁻³
- ΔH_f (0 K): -0.2 eV per formula unit
- Excess energy over the best structure of this formula in the dataset: 0.0 meV/atom
- Symmetry: R-3m (166)

The structure in CIF format:
```
data_Mg4Cd2Sn
_chemical_formula_sum 'Mg4 Cd2 Sn1'
_cell_length_a 8.6438
_cell_length_b 8.6438
_cell_length_c 8.6438
_cell_angle_alpha 32.87
_cell_angle_beta 32.87
_cell_angle_gamma 32.87
_symmetry_space_group_name_H-M 'P 1'
_symmetry_Int_Tables_number 1
loop_
_symmetry_equiv_pos_as_xyz
'x,y,z'
loop_
_atom_site_label
_atom_site_fract_x
_atom_site_fract_y
_atom_site_fract_z
Mg1 0.1137 0.1137 0.1137
Mg2 0.3704 0.3704 0.3704
Mg3 0.6296 0.6296 0.6296
Mg4 0.8863 0.8863 0.8863
Cd1 0.2528 0.2528 0.2528
Cd2 0.7472 0.7472 0.7472
Sn1 0.5000 0.5000 0.5000
```


Entry 4:
VASP calculation (PBE) on a relaxed structure of Mg2Cd6Sn.

## Properties
- DOS at the Fermi energy: 0.3042 states/eV/atom
- VASP energy: -25.7 eV for the cell shown
- Calculated density: 6.69 g cm⁻³
- ΔH_f (0 K): -0.2 eV per formula unit
- Excess energy over the best structure of this formula in the dataset: 11.6 meV/atom
- Symmetry: C2/c (15)

The structure in CIF format:
```
data_Mg2Cd6Sn
_chemical_formula_sum 'Mg4 Cd12 Sn2'
_cell_length_a 9.0259
_cell_length_b 9.0259
_cell_length_c 5.5174
_cell_angle_alpha 101.94
_cell_angle_beta 101.94
_cell_angle_gamma 74.30
_symmetry_space_group_name_H-M 'P 1'
_symmetry_Int_Tables_number 1
loop_
_symmetry_equiv_pos_as_xyz
'x,y,z'
loop_
_atom_site_label
_atom_site_fract_x
_atom_site_fract_y
_atom_site_fract_z
Mg1 0.0428 0.2903 0.0886
Mg2 0.2903 0.0428 0.5886
Mg3 0.7097 0.9572 0.4114
Mg4 0.9572 0.7097 0.9114
Cd1 0.0668 0.8230 0.4650
Cd2 0.1475 0.3969 0.6431
Cd3 0.1770 0.9332 0.0350
Cd4 0.2558 0.5116 0.1892
Cd5 0.3969 0.1475 0.1431
Cd6 0.4884 0.7442 0.3108
Cd7 0.5116 0.2558 0.6892
Cd8 0.6031 0.8525 0.8569
Cd9 0.7442 0.4884 0.8108
Cd10 0.8230 0.0668 0.9650
Cd11 0.8525 0.6031 0.3569
Cd12 0.9332 0.1770 0.5350
Sn1 0.3760 0.6240 0.7500
Sn2 0.6240 0.3760 0.2500
```


Entry 5:
VASP calculation (PBE) on a relaxed structure of Mg2Cd2Sn.

## Properties
- DOS at the Fermi energy: 0.4382 states/eV/atom
- VASP energy: -17.9 eV for the cell shown
- Calculated density: 5.46 g cm⁻³
- ΔH_f (0 K): 0.1 eV per formula unit
- Symmetry: P4/mbm (127)

The structure in CIF format:
```
data_Mg2Cd2Sn
_chemical_formula_sum 'Mg4 Cd4 Sn2'
_cell_length_a 8.2947
_cell_length_b 8.2947
_cell_length_c 3.4658
_cell_angle_alpha 90.00
_cell_angle_beta 90.00
_cell_angle_gamma 90.00
_symmetry_space_group_name_H-M 'P 1'
_symmetry_Int_Tables_number 1
loop_
_symmetry_equiv_pos_as_xyz
'x,y,z'
loop_
_atom_site_label
_atom_site_fract_x
_atom_site_fract_y
_atom_site_fract_z
Mg1 0.1374 0.3626 0.0000
Mg2 0.3626 0.8626 0.0000
Mg3 0.6374 0.1374 0.0000
Mg4 0.8626 0.6374 0.0000
Cd1 0.1613 0.6613 0.5000
Cd2 0.3387 0.1613 0.5000
Cd3 0.6613 0.8387 0.5000
Cd4 0.8387 0.3387 0.5000
Sn1 0.0000 0.0000 0.0000
Sn2 0.5000 0.5000 0.0000
```


Entry 6:
VASP calculation (PBE) on a relaxed structure of Mg12Cd2Sn5.

## Properties
- DOS at the Fermi energy: 0.3067 states/eV/atom
- VASP energy: -41.6 eV for the cell shown
- Calculated density: 3.72 g cm⁻³
- ΔH_f (0 K): -0.6 eV per formula unit
- Symmetry: C2/m (12)

The structure in CIF format:
```
data_Mg12Cd2Sn5
_chemical_formula_sum 'Mg12 Cd2 Sn5'
_cell_length_a 8.8313
_cell_length_b 8.8313
_cell_length_c 9.8818
_cell_angle_alpha 102.80
_cell_angle_beta 102.80
_cell_angle_gamma 41.40
_symmetry_space_group_name_H-M 'P 1'
_symmetry_Int_Tables_number 1
loop_
_symmetry_equiv_pos_as_xyz
'x,y,z'
loop_
_atom_site_label
_atom_site_fract_x
_atom_site_fract_y
_atom_site_fract_z
Mg1 0.0056 0.0056 0.3457
Mg2 0.0664 0.5576 0.8965
Mg3 0.0889 0.5869 0.4055
Mg4 0.4126 0.4126 0.7245
Mg5 0.4131 0.9111 0.5945
Mg6 0.4424 0.9336 0.1035
Mg7 0.5576 0.0664 0.8965
Mg8 0.5869 0.0889 0.4055
Mg9 0.5874 0.5874 0.2755
Mg10 0.9111 0.4131 0.5945
Mg11 0.9336 0.4424 0.1035
Mg12 0.9944 0.9944 0.6543
Cd1 0.2487 0.7513 0.0000
Cd2 0.7513 0.2487 0.0000
Sn1 0.1549 0.1549 0.8493
Sn2 0.1803 0.1803 0.3487
Sn3 0.5000 0.5000 0.5000
Sn4 0.8197 0.8197 0.6513
Sn5 0.8451 0.8451 0.1507
```